[1]
# Sr2AlBr (GGA-PBE, relaxed)
data_Sr2AlBr
_space_group_name_H-M_alt 'C 1 m 1'
_space_group_IT_number 8
_space_group_name_Hall 'C -2y'
_cell_length_a 12.680
_cell_length_b 3.919
_cell_length_c 5.478
_cell_angle_alpha 90.00
_cell_angle_beta 90.00
_cell_angle_gamma 90.00
loop_
_atom_site_label
_atom_site_type_symbol
_atom_site_fract_x
_atom_site_fract_y
_atom_site_fract_z
_atom_site_occupancy
Sr1 Sr 0.000 0.000 0.000 1
Sr2 Sr 0.249 0.500 0.499 1
Al1 Al 0.484 0.000 0.500 1
Br1 Br 0.248 0.000 0.999 1
# Formation energy from raw total energies   -0.677 eV per atom
# Final energy   -23.0 eV for the cell shown
# Calculated volume   272.2 Å³/cell
# Polymorph energy (0 for the lowest one)   0.49 eV per formula unit

***

[2]
# LiLaAlRu (GGA-PBE, relaxed)
data_LiLaAlRu
_space_group_name_H-M_alt 'F -4 3 m'
_space_group_IT_number 216
_space_group_name_Hall 'F -4 2 3'
_cell_length_a 6.713
_cell_length_b 6.713
_cell_length_c 6.713
_cell_angle_alpha 90.00
_cell_angle_beta 90.00
_cell_angle_gamma 90.00
loop_
_atom_site_label
_atom_site_type_symbol
_atom_site_fract_x
_atom_site_fract_y
_atom_site_fract_z
_atom_site_occupancy
Li1 Li 0.000 0.000 0.000 1
La1 La 0.250 0.250 0.750 1
Al1 Al 0.250 0.250 0.250 1
Ru1 Ru 0.000 0.000 0.500 1
# Final energy   -82.8 eV for the cell shown
# Calculated volume   302.5 Å³/cell

***

[3]
# La2Ga12Ag (GGA-PBE, relaxed)
data_La2Ga12Ag
_space_group_name_H-M_alt 'P 4/n b m'
_space_group_IT_number 125
_cell_length_a 6.316
_cell_length_b 6.316
_cell_length_c 15.473
_cell_angle_alpha 90.00
_cell_angle_beta 90.00
_cell_angle_gamma 90.00
loop_
_space_group_symop_operation_xyz
'x,y,z'
'-x,-y,-z'
'-y+1/2,x,z'
'y+1/2,-x,-z'
'-x+1/2,-y+1/2,z'
'x+1/2,y+1/2,-z'
'y,-x+1/2,z'
'-y,x+1/2,-z'
'x,-y+1/2,-z'
'-x,y+1/2,z'
'-y+1/2,-x+1/2,-z'
'y+1/2,x+1/2,z'
'-x+1/2,y,-z'
'x+1/2,-y,z'
'y,x,-z'
'-y,-x,z'
loop_
_atom_site_label
_atom_site_type_symbol
_atom_site_fract_x
_atom_site_fract_y
_atom_site_fract_z
_atom_site_occupancy
La1 La 0.250 0.750 0.246 1
Ga1 Ga 0.000 0.000 0.091 1
Ga2 Ga 0.077 0.577 0.430 1
Ga3 Ga 0.250 0.250 0.183 1
Ga4 Ga 0.250 0.250 0.345 1
Ag1 Ag 0.250 0.750 0.000 1
# Final energy   -108.6 eV for the cell shown
# Calculated volume   617.2 Å³/cell

***

[4]
# NaAlSnPb (GGA-PBE, relaxed)
data_NaAlSnPb
_space_group_name_H-M_alt 'F -4 3 m'
_space_group_IT_number 216
_space_group_name_Hall 'F -4 2 3'
_cell_length_a 7.401
_cell_length_b 7.401
_cell_length_c 7.401
_cell_angle_alpha 90.00
_cell_angle_beta 90.00
_cell_angle_gamma 90.00
loop_
_atom_site_label
_atom_site_type_symbol
_atom_site_fract_x
_atom_site_fract_y
_atom_site_fract_z
_atom_site_occupancy
Na1 Na 0.000 0.000 0.000 1
Al1 Al 0.000 0.000 0.500 1
Sn1 Sn 0.250 0.250 0.750 1
Pb1 Pb 0.250 0.250 0.250 1
# Final energy   -50.1 eV for the cell shown
# Calculated volume   405.3 Å³/cell

***

[5]
# LaTaW2 (GGA-PBE, relaxed)
data_LaTaW2
_space_group_name_H-M_alt 'P m m m'
_space_group_IT_number 47
_space_group_name_Hall '-P 2 2'
_cell_length_a 2.795
_cell_length_b 4.600
_cell_length_c 6.642
_cell_angle_alpha 90.00
_cell_angle_beta 90.00
_cell_angle_gamma 90.00
loop_
_atom_site_label
_atom_site_type_symbol
_atom_site_fract_x
_atom_site_fract_y
_atom_site_fract_z
_atom_site_occupancy
La1 La 0.000 0.000 0.000 1
Ta1 Ta 0.000 0.000 0.500 1
W1 W 0.500 0.500 0.311 1
# Final energy   -39.9 eV for the cell shown
# Calculated volume   85.4 Å³/cell
# Polymorph energy (0 for the lowest one)   1.28 eV per formula unit

***

[6]
# K2TcPb3O6 (GGA-PBE, relaxed)
data_K2TcPb3O6
_space_group_name_H-M_alt 'C 1 2/m 1'
_space_group_IT_number 12
_space_group_name_Hall '-C 2y'
_cell_length_a 6.346
_cell_length_b 11.670
_cell_length_c 5.965
_cell_angle_alpha 90.00
_cell_angle_beta 108.07
_cell_angle_gamma 90.00
loop_
_atom_site_label
_atom_site_type_symbol
_atom_site_fract_x
_atom_site_fract_y
_atom_site_fract_z
_atom_site_occupancy
K1 K 0.000 0.175 0.000 1
Tc1 Tc 0.000 0.500 0.000 1
Pb1 Pb 0.000 0.000 0.500 1
Pb2 Pb 0.000 0.349 0.500 1
O1 O 0.182 0.500 0.748 1
O2 O 0.198 0.381 0.213 1
# Formation energy from raw total energies   -1.186 eV per atom
# Final energy   -135.3 eV for the cell shown
# Calculated volume   420.0 Å³/cell

***

> Which of these has the highest calculated volume?

La2Ga12Ag

***

> Look up the final energy of the fourth one.

-50.1 eV for the cell shown